# 1
First-principles (PBE-GGA) data for a relaxed DyMgGaAu crystal, as listed in Alexandria via LeMat-Bulk.

a b c (Å): 6.910 6.910 6.910
angles (deg): 90.00 90.00 90.00
Space group F-43m (No. 216)
Inequivalent atoms, fractional coordinates:
1 Dy 0.000 0.000 0.000 x4
2 Mg 0.000 0.000 0.500 x4
3 Ga 0.250 0.250 0.750 x4
4 Au 0.250 0.250 0.250 x4

D(E_F): 2.720 states/eV/f.u.
Electronic total energy: -60.14 eV per cell
Energy relative to the elements: -0.63 eV/atom


# 2
First-principles (PBE-GGA) data for a relaxed LaPr3Tl2 crystal, as listed in Alexandria via LeMat-Bulk.

a b c (Å): 17.221 5.547 9.590
angles (deg): 90.00 119.49 90.00
Space group C2/m (No. 12)
Inequivalent atoms, fractional coordinates:
1 La 0.129 0.000 0.176 x4
2 Pr 0.060 0.000 0.714 x4
3 Pr 0.119 0.500 0.546 x4
4 Pr 0.196 0.500 0.001 x4
5 Tl 0.016 0.500 0.169 x4
6 Tl 0.228 0.000 0.594 x4

D(E_F): 6.868 states/eV/f.u.
Electronic total energy: -100.76 eV per cell
Energy relative to the elements: -0.20 eV/atom
Energy above the lowest structure with this stoichiometry: 7.77 kJ per mole of atoms


# 3
First-principles (PBE-GGA) data for a relaxed TeAs2Ir crystal, as listed in Alexandria via LeMat-Bulk.

a b c (Å): 7.397 3.034 8.316
angles (deg): 90.00 101.29 90.00
Space group C2/m (No. 12)
Inequivalent atoms, fractional coordinates:
1 Te 0.000 0.000 0.000 x2
2 As 0.172 0.000 0.336 x4
3 Ir 0.000 0.500 0.500 x2

D(E_F): 2.924 states/eV/f.u.
Raw formation energy: -0.08 eV per formula unit
Electronic total energy: -42.76 eV per cell


# 4
First-principles (PBE-GGA) data for a relaxed TiCd3Ni crystal, as listed in Alexandria via LeMat-Bulk.

a b c (Å): 5.306 5.306 5.306
angles (deg): 90.00 90.00 90.00
Space group Pm-3m (No. 221)
Inequivalent atoms, fractional coordinates:
1 Ti 0.000 0.000 0.000 x1
2 Cd 0.000 0.000 0.500 x3
3 Ni 0.500 0.500 0.500 x1

D(E_F): 12.978 states/eV/f.u.
Electronic total energy: -9.90 eV per cell
Energy relative to the elements: 1.30 eV/atom
Energy above the lowest structure with this stoichiometry: 72.15 kJ per mole of atoms


# 5
First-principles (PBE-GGA) data for a relaxed MnTlMoAu2 crystal, as listed in Alexandria via LeMat-Bulk.

a b c (Å): 4.999 4.999 4.276
angles (deg): 90.00 90.00 90.00
Space group P4/mmm (No. 123)
Inequivalent atoms, fractional coordinates:
1 Mn 0.000 0.000 0.000 x1
2 Tl 0.500 0.500 0.500 x1
3 Mo 0.000 0.000 0.500 x1
4 Au 0.000 0.500 0.000 x2

D(E_F): 4.447 states/eV/f.u.
Electronic total energy: -24.68 eV per cell
Energy relative to the elements: 0.85 eV/atom
Energy above the lowest structure with this stoichiometry: 0.00 kJ per mole of atoms


# 6
First-principles (PBE-GGA) data for a relaxed Zr4Cd5 crystal, as listed in Alexandria via LeMat-Bulk.

a b c (Å): 9.746 9.746 4.206
angles (deg): 90.00 90.00 90.00
Space group I4/mmm (No. 139)
Inequivalent atoms, fractional coordinates:
1 Zr 0.000 0.335 0.000 x8
2 Cd 0.000 0.000 0.000 x2
3 Cd 0.168 0.168 0.500 x8

D(E_F): 6.477 states/eV/f.u.
Electronic total energy: -79.42 eV per cell
Energy relative to the elements: -0.10 eV/atom
Energy above the lowest structure with this stoichiometry: 0.00 kJ per mole of atoms